[1]
PmGa4Rh2 | Alexandria | PBE | optimized geometry; E above lowest polymorph = 0.057 eV per atom; ΔE_f = -634 meV/atom; energy = -36.0 eV per formula unit; SG = No. 136; M_tot = 0.000 μB per atom
1.0
7.4984 0.0000 0.0000
0.0000 7.4984 0.0000
0.0000 0.0000 4.4026
Pm Ga Rh
2 8 4
Cartesian
0.0000 0.0000 0.0000
3.7492 3.7492 2.2013
0.6714 2.5334 2.2013
1.2158 4.4207 0.0000
2.5334 0.6714 2.2013
3.0778 6.2826 0.0000
4.4207 1.2158 0.0000
4.9650 6.8270 2.2013
6.2826 3.0778 0.0000
6.8270 4.9650 2.2013
1.7020 5.7965 2.2013
2.0472 2.0472 0.0000
5.4512 5.4512 0.0000
5.7965 1.7020 2.2013

=====

[2]
Pm8Ga2Rh | Alexandria | PBE | optimized geometry; E above lowest polymorph = 0.000 eV per atom; ΔE_f = -339 meV/atom; energy = -55.1 eV per formula unit; SG = No. 12; M_tot = 0.000 μB per atom
1.0
9.2601 -2.5288 0.0000
9.2601 2.5288 0.0000
-1.2688 0.0000 6.7145
Pm Ga Rh
8 2 1
Cartesian
0.0682 0.0000 1.8606
2.8207 0.0000 5.4450
5.7709 0.0000 3.5331
7.5097 0.0000 0.2957
9.7417 0.0000 6.4188
11.4805 0.0000 3.1814
14.4307 0.0000 1.2695
17.1832 0.0000 4.8539
3.1938 0.0000 1.6844
14.0576 0.0000 5.0301
8.6257 0.0000 3.3573

=====

[3]
PmGa2Rh5 | Alexandria | PBE | optimized geometry; ΔE_f = -477 meV/atom; energy = -51.4 eV per formula unit; SG = No. 71; M_tot = 0.000 μB per atom
1.0
3.8364 0.0000 0.0000
0.0000 6.9686 0.0000
0.0000 0.0000 10.1296
Pm Ga Rh
2 4 10
Cartesian
0.0000 0.0000 0.0000
1.9182 3.4843 5.0648
0.0000 3.4843 2.4671
0.0000 3.4843 7.6624
1.9182 0.0000 2.5977
1.9182 0.0000 7.5319
0.0000 1.3715 3.6783
0.0000 1.3715 6.4513
0.0000 3.4843 0.0000
0.0000 5.5971 3.6783
0.0000 5.5971 6.4513
1.9182 0.0000 5.0648
1.9182 2.1128 1.3865
1.9182 2.1128 8.7431
1.9182 4.8558 1.3865
1.9182 4.8558 8.7431

=====

[4]
Pm3Ga4Rh4 | Alexandria | PBE | optimized geometry; E above lowest polymorph = 0.000 eV per atom; ΔE_f = -769 meV/atom; energy = -64.2 eV per formula unit; SG = No. 2; M_tot = 0.000 μB per atom
1.0
4.0159 0.0000 0.0000
0.0006 4.3870 0.0000
1.9966 2.1701 12.5569
Pm Ga Rh
3 4 4
Cartesian
0.0000 0.0000 0.0000
2.0037 4.3755 8.8164
4.0095 2.1816 3.7405
2.0017 4.3771 4.9371
2.0063 2.1931 1.2750
4.0069 4.3640 11.2819
4.0114 2.1799 7.6198
2.0029 2.1826 6.2025
2.0006 4.3860 2.4400
4.0125 2.1711 10.1169
4.0102 4.3744 6.3544

=====

[5]
PmGa2Rh | Alexandria | PBE | optimized geometry; E above lowest polymorph = 0.261 eV per atom; ΔE_f = -485 meV/atom; energy = -20.1 eV per formula unit; SG = No. 123; M_tot = 0.000 μB per atom
1.0
4.0858 0.0000 0.0000
0.0000 4.0858 0.0000
0.0000 0.0000 4.6726
Pm Ga Rh
1 2 1
Cartesian
0.0000 0.0000 0.0000
0.0000 2.0429 2.3363
2.0429 0.0000 2.3363
2.0429 2.0429 0.0000

=====

[6]
PmGa2Rh2 | Alexandria | PBE | optimized geometry; E above lowest polymorph = 0.000 eV per atom; ΔE_f = -811 meV/atom; energy = -29.6 eV per formula unit; SG = No. 139; M_tot = 0.000 μB per atom
1.0
4.2813 0.0000 0.0000
0.0000 4.2813 0.0000
0.0000 0.0000 10.0899
Pm Ga Rh
2 4 4
Cartesian
0.0000 0.0000 0.0000
2.1406 2.1406 5.0450
0.0000 0.0000 3.7634
0.0000 0.0000 6.3265
2.1406 2.1406 1.2816
2.1406 2.1406 8.8083
0.0000 2.1406 2.5225
0.0000 2.1406 7.5674
2.1406 0.0000 2.5225
2.1406 0.0000 7.5674

=====

[7]
Pm3Ga2Rh3 | Alexandria | PBE | optimized geometry; E above lowest polymorph = 0.004 eV per atom; ΔE_f = -776 meV/atom; energy = -48.6 eV per formula unit; SG = No. 63; M_tot = 0.000 μB per atom
1.0
2.0338 -5.9316 0.0000
2.0338 5.9316 0.0000
0.0000 0.0000 14.1471
Pm Ga Rh
6 4 6
Cartesian
2.0338 5.0252 8.6431
2.0338 5.0252 12.5776
2.0338 1.8370 10.6103
2.0338 -1.8370 3.5368
2.0338 -5.0252 1.5695
2.0338 -5.0252 5.5040
2.0338 3.2630 1.1601
2.0338 3.2630 5.9134
2.0338 -3.2630 8.2337
2.0338 -3.2630 12.9870
2.0338 2.0240 3.5368
2.0338 1.2452 7.6935
2.0338 1.2452 13.5271
2.0338 -1.2452 0.6200
2.0338 -1.2452 6.4536
2.0338 -2.0240 10.6103

=====

[8]
PmGa2Rh | Alexandria | PBE | optimized geometry; E above lowest polymorph = 0.183 eV per atom; ΔE_f = -564 meV/atom; energy = -20.4 eV per formula unit; SG = No. 123; M_tot = 0.000 μB per atom
1.0
3.2664 0.0000 0.0000
0.0000 3.2664 0.0000
0.0000 0.0000 7.0114
Pm Ga Rh
1 2 1
Cartesian
0.0000 0.0000 0.0000
1.6332 1.6332 2.1549
1.6332 1.6332 4.8565
0.0000 0.0000 3.5057

=====

[9]
Pm3GaRh8 | Alexandria | PBE | optimized geometry; ΔE_f = -547 meV/atom; energy = -82.7 eV per formula unit; SG = No. 160; M_tot = 0.000 μB per atom
1.0
2.6709 1.5420 8.7473
-2.6709 1.5420 8.7473
0.0000 -3.0840 8.7473
Pm Ga Rh
3 1 8
Cartesian
0.0000 0.0000 0.0000
0.0000 0.0000 3.3945
0.0000 0.0000 13.4741
0.0000 0.0000 16.7445
-1.3423 -0.7750 10.4782
0.0000 -1.5416 6.1616
-1.3351 0.7708 6.1616
0.0000 0.0000 8.3005
1.3423 -0.7750 10.4781
0.0000 1.5499 10.4781
1.3351 0.7708 6.1616
0.0000 0.0000 21.4372

=====

[10]
Pm3Ga2Rh | Alexandria | PBE | optimized geometry; ΔE_f = -638 meV/atom; energy = -31.5 eV per formula unit; SG = No. 62; M_tot = 0.000 μB per atom
1.0
12.1666 0.0000 0.0000
0.0000 4.2336 0.0000
0.0000 0.0000 11.8138
Pm Ga Rh
12 8 4
Cartesian
0.5477 1.0584 1.4968
1.4087 3.1752 6.5333
2.8065 1.0584 9.3943
3.2769 3.1752 3.4874
4.6747 1.0584 0.6264
5.5356 3.1752 7.4037
6.6310 1.0584 4.4101
7.4920 3.1752 11.1875
8.8898 1.0584 8.3264
9.3602 3.1752 2.4195
10.7580 1.0584 5.2805
11.6189 3.1752 10.3170
0.1311 3.1752 3.6153
2.3327 3.1752 0.0434
3.7506 1.0584 5.9503
5.9522 1.0584 9.5222
6.2145 3.1752 2.2916
8.4161 3.1752 5.8635
9.8339 1.0584 11.7704
12.0355 1.0584 8.1985
1.5690 1.0584 4.4788
4.5143 3.1752 10.3857
7.6523 1.0584 1.4281
10.5977 3.1752 7.3351

=====

[11]
Pm3Ga2Rh4 | Alexandria | PBE | optimized geometry; E above lowest polymorph = 0.000 eV per atom; ΔE_f = -774 meV/atom; energy = -56.7 eV per formula unit; SG = No. 12; M_tot = 0.000 μB per atom
1.0
5.1174 -2.1045 0.0000
5.1174 2.1045 0.0000
-1.1590 0.0000 8.6053
Pm Ga Rh
3 2 4
Cartesian
0.0000 0.0000 0.0000
3.1613 0.0000 5.3267
5.9145 0.0000 3.2787
3.0117 0.0000 1.8546
6.0641 0.0000 6.7507
0.2125 0.0000 5.4709
1.8681 0.0000 7.8443
7.2077 0.0000 0.7610
8.8632 0.0000 3.1344

=====

[12]
Pm3Ga2Rh2 | Alexandria | PBE | optimized geometry; ΔE_f = -770 meV/atom; energy = -40.4 eV per formula unit; SG = No. 57; M_tot = 0.000 μB per atom
1.0
5.6484 0.0000 0.0000
0.0000 8.0421 0.0000
0.0000 0.0000 13.8040
Pm Ga Rh
12 8 8
Cartesian
0.7382 1.9074 3.4510
0.7382 2.1137 10.3530
1.9829 4.8146 1.3603
1.9829 4.8146 5.5417
1.9829 7.2486 8.2623
1.9829 7.2486 12.4437
3.6656 0.7935 1.3603
3.6656 0.7935 5.5417
3.6656 3.2276 8.2623
3.6656 3.2276 12.4437
4.9103 5.9284 3.4510
4.9103 6.1348 10.3530
0.7539 2.0105 0.0000
0.7539 2.0105 6.9020
2.0780 4.9187 10.3530
2.0780 7.1445 3.4510
3.5705 0.8976 10.3530
3.5705 3.1235 3.4510
4.8945 6.0316 0.0000
4.8945 6.0316 6.9020
0.8154 4.2841 8.1640
0.8154 4.2841 12.5420
0.8154 7.7791 1.2620
0.8154 7.7791 5.6400
4.8330 0.2630 8.1640
4.8330 0.2630 12.5420
4.8330 3.7580 1.2620
4.8330 3.7580 5.6400

=====

What is the formula in the seventh record? Pm3Ga2Rh3

=====

What is the formula in the eighth record? PmGa2Rh

=====

Which of these has the lowest ΔE_f? PmGa2Rh2